Entry 1:
Crystalline La5RuI5 at its relaxed geometry, computed with PBE.

Geometry as POSCAR:
```
La5RuI5
1.0
6.4123 0.0000 0.0000
-3.2061 6.5630 -2.4420
0.0000 0.0781 9.3747
La Ru I
5 1 5
Direct
0.8350 0.6699 0.1274
0.8646 0.7293 0.7310
0.5000 0.0000 0.0000
0.1354 0.2707 0.2690
0.1650 0.3301 0.8726
0.0000 0.0000 0.0000
0.6798 0.3597 0.3523
0.6455 0.2911 0.7873
0.0000 0.0000 0.5000
0.3545 0.7089 0.2127
0.3202 0.6403 0.6477
```

Summary:
The value obtained for the total energy is -4.8352 eV per atom. The calculation puts the formation energy from raw total energies at -1.048 eV per atom. As for the symmetry: C2/m (12).



Entry 2:
Crystalline Ac2PuCdO8 at its relaxed geometry, computed with PBE.

Geometry as POSCAR:
```
Ac2PuCdO8
1.0
-1.4649 -2.8329 3.1843
3.5768 -3.4722 -2.4177
5.8205 2.5509 4.9468
Ac Pu Cd O
2 1 1 8
Direct
0.5000 0.5000 0.7469
0.5000 0.5000 0.2531
0.0000 0.0000 0.0000
0.0000 0.0000 0.5000
0.0792 0.7761 0.1852
0.6076 0.7889 0.0000
0.9208 0.2238 0.1852
0.9208 0.2239 0.8148
0.3924 0.2111 0.0000
0.0792 0.7762 0.8148
0.6561 0.7268 0.5000
0.3439 0.2732 0.5000
```

Summary:
The value obtained for the total energy is -7.6849 eV per atom. The calculation puts the formation energy from raw total energies at -2.424 eV per atom. As for the symmetry: P2/m (10).



Entry 3:
Crystalline ScZn2Mo at its relaxed geometry, computed with PBE.

Geometry as POSCAR:
```
ScZn2Mo
1.0
4.8757 -0.0165 -0.0091
1.5105 4.6358 0.0091
-3.1870 -2.3181 2.8709
Mo Sc Zn
1 1 2
Direct
0.7500 0.2500 0.5000
0.2500 0.7500 0.5000
0.0000 0.0000 0.0000
0.5000 0.5000 0.0000
```

Summary:
The value obtained for the total energy is -4.9816 eV per atom. The value obtained for the formation energy is -0.054 eV/atom. As for the symmetry: I4/mmm (139).



Entry 4:
Crystalline Sr2PbBr2O2 at its relaxed geometry, computed with PBE.

Geometry as POSCAR:
```
Sr2PbBr2O2
1.0
4.7072 0.0000 0.0000
0.0000 4.7072 0.0000
-2.3536 -2.3536 7.9786
Sr Pb Br O
2 1 2 2
Direct
0.3956 0.3956 0.7912
0.6044 0.6044 0.2088
0.0000 0.0000 0.0000
0.1946 0.1946 0.3891
0.8054 0.8054 0.6109
0.0000 0.5000 0.0000
0.5000 0.0000 0.0000
```

Summary:
The value obtained for the total energy is -4.6670 eV per atom. The calculation puts the formation energy from raw total energies at -1.762 eV per atom. As for the symmetry: I4/mmm (139).



Entry 5:
Crystalline Si2OsCl at its relaxed geometry, computed with PBE.

Geometry as POSCAR:
```
Si2OsCl
1.0
0.0000 3.1351 3.1351
3.1351 0.0000 3.1351
3.1351 3.1351 0.0000
Si Os Cl
2 1 1
Direct
0.2500 0.2500 0.2500
0.7500 0.7500 0.7500
0.5000 0.5000 0.5000
0.0000 0.0000 0.0000
```

Summary:
The value obtained for the total energy is -5.0800 eV per atom. The calculation puts the formation energy from raw total energies at 0.901 eV per atom. As for the symmetry: Fm-3m (225).



Entry 6:
Crystalline MoP2Os at its relaxed geometry, computed with PBE.

Geometry as POSCAR:
```
MoP2Os
1.0
-3.7161 3.9561 -0.1026
-3.7168 -3.4406 1.9541
-2.4344 1.5858 5.7024
P Mo Os
4 2 2
Direct
0.6406 0.1250 0.2500
0.1094 0.6250 0.2500
0.3750 0.3594 0.7500
0.8750 0.8906 0.7500
0.5000 0.5000 0.0000
0.2500 0.7500 0.5000
0.0000 0.0000 0.0000
0.7500 0.2500 0.5000
```

Summary:
The value obtained for the total energy is -8.0887 eV per atom. The value obtained for the formation energy is 0.131 eV/atom. As for the symmetry: I-42d (122).



Entry 7:
Crystalline Sm3Sb at its relaxed geometry, computed with PBE.

Geometry as POSCAR:
```
Sm3Sb
1.0
-4.0112 -0.7340 0.4999
1.0055 -6.3504 -1.2558
1.2064 -0.0450 9.6137
Sm Sb
6 2
Direct
0.2500 0.5826 0.8525
0.7500 0.9003 0.1293
0.7500 0.4174 0.1475
0.2500 0.0997 0.8707
0.2500 0.2286 0.4136
0.7500 0.7714 0.5864
0.2500 0.7144 0.3407
0.7500 0.2856 0.6593
```

Summary:
The value obtained for the total energy is -5.0832 eV per atom. The calculation puts the formation energy from raw total energies at -0.513 eV per atom. As for the symmetry: P2_1/m (11).



Entry 8:
Crystalline VCr3Cl at its relaxed geometry, computed with PBE.

Geometry as POSCAR:
```
VCr3Cl
1.0
4.1338 0.0000 0.0000
0.0000 4.1338 0.0000
0.0000 0.0000 4.1338
Cr V Cl
3 1 1
Direct
0.0000 0.5000 0.0000
0.0000 0.0000 0.5000
0.5000 0.0000 0.0000
0.5000 0.5000 0.5000
0.0000 0.0000 0.0000
```

Summary:
The value obtained for the total energy is -7.0621 eV per atom. The calculation puts the formation energy from raw total energies at 0.905 eV per atom. As for the symmetry: Pm-3m (221).